This record from Alexandria via LeMat-Bulk describes TlFeIO2 after structural relaxation. The functional is PBE with a Hubbard U.

Values from the calculation:
E above lowest polymorph	0.662	eV per atom
crystal system	tetragonal
calculated volume	108.73	Å³ per cell

Cell: 4.143 6.334 4.143 Å, 90.00 90.00 90.00°
Last column: magnetic moment on the atom in μB.
Sites, in units of the cell vectors:
I 0.000 0.000 0.000  0.00
Tl 0.000 0.500 0.000  -0.02
Fe 0.500 0.500 0.500  3.86
O 0.000 0.000 0.500  0.00
O 0.500 0.000 0.000  0.01